Crystalline Bi2MoSe at its relaxed geometry, computed with GGA-PBE.

Geometry as CIF:
```
data_Bi2MoSe
_chemical_formula_sum 'Bi4 Mo2 Se2'
_space_group_name_H-M_alt 'P 1'
_space_group_IT_number 1
_cell_length_a 6.477
_cell_length_b 6.477
_cell_length_c 7.992
_cell_angle_alpha 66.10
_cell_angle_beta 66.10
_cell_angle_gamma 90.00
loop_
_space_group_symop_operation_xyz
'x,y,z'
loop_
_atom_site_label
_atom_site_type_symbol
_atom_site_fract_x
_atom_site_fract_y
_atom_site_fract_z
Se1 Se 0.250 0.750 0.500
Mo1 Mo 0.750 0.250 0.500
Se2 Se 0.500 0.500 0.000
Mo2 Mo 0.000 0.000 0.000
Bi1 Bi 0.663 0.125 0.250
Bi2 Bi 0.875 0.913 0.750
Bi3 Bi 0.375 0.337 0.750
Bi4 Bi 0.087 0.625 0.250
```

Output
* E_form (uncorrected): 775.0 meV/atom
* spin magnetization: 0.0 μB/f.u.